1.
CaPu2Pt3: optimized geometry, GGA-PBE.

Cell lengths 4.093, 5.755, 12.375 Å; angles 90.00, 90.00, 90.00 degrees
Element x y z (fractional)
Ca: 0.000 0.000 0.000
Ca: 0.500 0.500 0.500
Pu: 0.000 0.000 0.338
Pu: 0.000 0.000 0.662
Pu: 0.500 0.500 0.162
Pu: 0.500 0.500 0.838
Pt: 0.000 0.500 0.000
Pt: 0.000 0.500 0.320
Pt: 0.000 0.500 0.680
Pt: 0.500 0.000 0.180
Pt: 0.500 0.000 0.500
Pt: 0.500 0.000 0.820

E_form in eV/atom: -0.725
Energy above the lowest structure with this stoichiometry in meV per atom: 66
SG: Immm (71)

2.
Mg3Cd2In3: optimized geometry, GGA-PBE.

Cell lengths 4.429, 4.530, 18.610 Å; angles 90.00, 90.00, 90.00 degrees
Element x y z (fractional)
Mg: 0.000 0.000 0.000
Mg: 0.000 0.500 0.127
Mg: 0.000 0.500 0.873
Mg: 0.500 0.000 0.373
Mg: 0.500 0.000 0.627
Mg: 0.500 0.500 0.500
Cd: 0.000 0.000 0.250
Cd: 0.000 0.000 0.750
Cd: 0.500 0.500 0.250
Cd: 0.500 0.500 0.750
In: 0.000 0.000 0.500
In: 0.000 0.500 0.374
In: 0.000 0.500 0.626
In: 0.500 0.000 0.126
In: 0.500 0.000 0.874
In: 0.500 0.500 0.000

E_form in eV/atom: -0.059
SG: Immm (71)

3.
NaHPd2: optimized geometry, GGA-PBE.

Cell lengths 2.791, 9.562, 8.244 Å; angles 90.00, 90.00, 90.00 degrees
Element x y z (fractional)
Na: 0.000 0.097 0.250
Na: 0.000 0.903 0.750
Na: 0.500 0.403 0.750
Na: 0.500 0.597 0.250
H: 0.000 0.147 0.750
H: 0.000 0.853 0.250
H: 0.500 0.353 0.250
H: 0.500 0.647 0.750
Pd: 0.000 0.357 0.082
Pd: 0.000 0.357 0.418
Pd: 0.000 0.643 0.582
Pd: 0.000 0.643 0.918
Pd: 0.500 0.143 0.582
Pd: 0.500 0.143 0.918
Pd: 0.500 0.857 0.082
Pd: 0.500 0.857 0.418

Energy above the lowest structure with this stoichiometry in meV per atom: 100
SG: Cmcm (63)

4.
Tb3Nd2Ni2: optimized geometry, GGA-PBE.

Cell lengths 12.336, 3.651, 9.094 Å; angles 90.00, 116.68, 90.00 degrees
Element x y z (fractional)
Tb: 0.000 0.000 0.000
Tb: 0.117 0.000 0.432
Tb: 0.383 0.500 0.568
Tb: 0.500 0.500 0.000
Tb: 0.617 0.500 0.432
Tb: 0.883 0.000 0.568
Nd: 0.164 0.500 0.809
Nd: 0.336 0.000 0.191
Nd: 0.664 0.000 0.809
Nd: 0.836 0.500 0.191
Ni: 0.167 0.500 0.239
Ni: 0.333 0.000 0.761
Ni: 0.667 0.000 0.239
Ni: 0.833 0.500 0.761

E_form in eV/atom: -0.224
SG: C2/m (12)